VASP calculation (PBE) on TaAlPO after structural relaxation.

The value obtained for the uncorrected energy is -7.292 eV/atom. For the energy relative to the lowest polymorph listed for this composition, the calculation gives 465 meV per atom. The crystal system is tetragonal. The value obtained for the density is 7.682 g cm⁻³.

The space group is P4/nmm (No. 129, origin choice 2) and the conventional cell measures 3.4449, 3.4449 and 9.2866 Å, with angles of 90.00, 90.00 and 90.00 degrees. The inequivalent atoms are Ta at (0.2500, 0.2500, 0.1431), Al at (0.2500, 0.7500, 0.5000), P at (0.2500, 0.2500, 0.7329) and O at (0.2500, 0.7500, 0.0000).